# 1
# UTaNbRu

Crystalline UTaNbRu at its relaxed geometry (PBE, Alexandria via LeMat-Bulk).

The value obtained for the formation energy is 155 meV per atom. For the magnetic moment, the calculation gives 1.14 μB per formula unit. Its volume is 71.1 Å³/f.u.

Cell lengths 6.5759, 6.5759, 6.5759 Å; angles 90.00, 90.00, 90.00 degrees
Space group F-43m (No. 216)
Asymmetric unit:
1 U 0.0000 0.0000 0.0000
2 Ta 0.2500 0.2500 0.7500
3 Nb 0.2500 0.2500 0.2500
4 Ru 0.0000 0.0000 0.5000

# 2
# SmY5Al4

Crystalline SmY5Al4 at its relaxed geometry (PBE, Alexandria via LeMat-Bulk).

The value obtained for the formation energy is -329 meV per atom. For the magnetic moment, the calculation gives 0.00 μB per formula unit. Its volume is 254.9 Å³/f.u.

Cell lengths 3.5845, 3.5845, 19.8409 Å; angles 90.00, 90.00, 90.00 degrees
Space group P4/mmm (No. 123)
Asymmetric unit:
1 Sm 0.0000 0.0000 0.0000
2 Y 0.5000 0.5000 0.1315
3 Y 0.5000 0.5000 0.3160
4 Y 0.5000 0.5000 0.5000
5 Al 0.0000 0.0000 0.2230
6 Al 0.0000 0.0000 0.4078